(1)
The following is a PBE calculation of crystalline Th5Sc7 at its relaxed geometry, from the Alexandria database. Values from VASP.

Output
**Calculated volume**: 333 Å³/f.u.
**Calculated formation energy**: 0.040 eV/atom

```
&SYSTEM
  ibrav = 0, nat = 12, ntyp = 2
/
ATOMIC_SPECIES
Th 232.04 Th.upf
Sc 44.96 Sc.upf
CELL_PARAMETERS angstrom
8.7557 -1.7361 0.0000
8.7557 1.7361 0.0000
-5.9570 0.0000 10.9638
ATOMIC_POSITIONS angstrom
Th 0.0000 0.0000 0.0000
Th -0.0595 0.0000 5.4321
Th 3.7868 0.0000 2.7087
Th 7.7676 0.0000 8.2551
Th 11.6139 0.0000 5.5317
Sc -3.9943 0.0000 8.2329
Sc 5.8480 0.0000 0.0941
Sc 1.8907 0.0000 8.2544
Sc 5.7772 0.0000 5.4819
Sc 9.6637 0.0000 2.7094
Sc 5.7064 0.0000 10.8697
Sc 15.5487 0.0000 2.7309
```

=====

(2)
The following is a PBE calculation of crystalline ThCl2 at its relaxed geometry, from the Alexandria database. Values from VASP.

Output
**Calculated volume**: 79 Å³/f.u.
**E_form (uncorrected)**: -1659 meV per atom

```
&SYSTEM
  ibrav = 0, nat = 12, ntyp = 2
/
ATOMIC_SPECIES
Th 232.04 Th.upf
Cl 35.45 Cl.upf
CELL_PARAMETERS angstrom
-3.8266 3.8266 5.4214
3.8266 -3.8266 5.4214
3.8266 3.8266 -5.4214
ATOMIC_POSITIONS angstrom
Th 0.0000 0.0000 0.0000
Th 1.9133 1.9133 -2.7107
Th 1.9133 -1.9133 2.7107
Th 0.0000 3.8266 0.0000
Cl 2.1215 1.9133 0.1424
Cl 5.5318 1.9133 0.1424
Cl 3.8266 0.2082 2.5683
Cl 0.0000 0.2082 2.8531
Cl 3.8266 3.6184 2.5683
Cl 0.0000 3.6184 2.8531
Cl -1.7051 1.9133 5.2790
Cl 1.7051 1.9133 5.2790
```

=====

(3)
The following is a PBE calculation of crystalline NaHg2BSe4 at its relaxed geometry, from the Alexandria database. Values from VASP.

Output
**Calculated volume**: 208 Å³/f.u.
**E_form (uncorrected)**: -302 meV per atom

```
&SYSTEM
  ibrav = 0, nat = 16, ntyp = 4
/
ATOMIC_SPECIES
Na 22.99 Na.upf
Hg 200.59 Hg.upf
B 10.81 B.upf
Se 78.96 Se.upf
CELL_PARAMETERS angstrom
5.8521 0.0000 0.0000
0.0000 5.8521 0.0000
0.0000 0.0000 12.1334
ATOMIC_POSITIONS angstrom
Na 0.0000 0.0000 0.0000
Na 2.9260 2.9260 6.0667
Hg 0.0000 0.0000 6.0667
Hg 0.0000 2.9260 9.1001
Hg 2.9260 0.0000 3.0334
Hg 2.9260 2.9260 0.0000
B 0.0000 2.9260 3.0334
B 2.9260 0.0000 9.1001
Se 1.1643 4.1188 4.2915
Se 1.1927 1.7617 1.7752
Se 1.7333 1.1643 7.8419
Se 1.7617 4.6594 10.3582
Se 4.0904 1.1927 10.3582
Se 4.1188 4.6878 7.8419
Se 4.6594 4.0904 1.7752
Se 4.6878 1.7333 4.2915
```

=====

(4)
The following is a PBE calculation of crystalline Ac5La3Dy2 at its relaxed geometry, from the Alexandria database. Values from VASP.

Output
**Calculated volume**: 407 Å³/f.u.
**Calculated formation energy**: 0.170 eV/atom

```
&SYSTEM
  ibrav = 0, nat = 20, ntyp = 3
/
ATOMIC_SPECIES
Ac 227.00 Ac.upf
La 138.91 La.upf
Dy 162.50 Dy.upf
CELL_PARAMETERS angstrom
5.9648 -9.2751 0.0000
5.9648 9.2751 0.0000
-5.9425 0.0000 7.3499
ATOMIC_POSITIONS angstrom
Ac 1.5079 8.7227 5.5124
Ac -1.5114 2.0851 5.5966
Ac 1.5079 5.0822 5.5124
Ac 4.4792 4.1768 1.8375
Ac 1.4598 -2.0851 1.9216
Ac 4.5273 2.0851 5.4282
Ac 1.5079 -4.1768 5.5124
Ac 4.4792 -5.0822 1.8375
Ac 7.4985 -2.0851 1.7533
Ac 4.4792 -8.7227 1.8375
La 1.4753 2.2646 0.4438
La -1.4959 -2.2646 4.1187
La 4.4792 0.7253 1.8375
La 1.5079 -0.7253 5.5124
La 7.4831 2.2646 3.2312
La 4.5118 -2.2646 6.9061
Dy 1.4863 2.0593 3.6072
Dy -1.4849 -2.0593 7.2821
Dy 7.4721 2.0593 0.0678
Dy 4.5008 -2.0593 3.7427
```

=====

(5)
The following is a PBE calculation of crystalline Li3PbCl at its relaxed geometry, from the Alexandria database. Values from VASP.

Output
**Calculated volume**: 157 Å³/f.u.
**ΔE to the lowest computed polymorph**: 582 meV per atom
**E_form (uncorrected)**: -111 meV per atom

```
&SYSTEM
  ibrav = 0, nat = 5, ntyp = 3
/
ATOMIC_SPECIES
Li 6.94 Li.upf
Pb 207.20 Pb.upf
Cl 35.45 Cl.upf
CELL_PARAMETERS angstrom
5.3997 0.0000 0.0000
0.0000 5.3997 0.0000
0.0000 0.0000 5.3997
ATOMIC_POSITIONS angstrom
Li 0.0000 0.0000 2.6999
Li 0.0000 2.6999 0.0000
Li 2.6999 0.0000 0.0000
Pb 0.0000 0.0000 0.0000
Cl 2.6999 2.6999 2.6999
```

=====

(6)
The following is a PBE calculation of crystalline Ba2IrRhO6 at its relaxed geometry, from the Alexandria database. Values from VASP.

Output
**Calculated volume**: 145 Å³/f.u.
**E_form (uncorrected)**: -1571 meV per atom

```
&SYSTEM
  ibrav = 0, nat = 20, ntyp = 4
/
ATOMIC_SPECIES
Ba 137.33 Ba.upf
Ir 192.22 Ir.upf
Rh 102.91 Rh.upf
O 16.00 O.upf
CELL_PARAMETERS angstrom
2.9200 1.6859 9.8101
-2.9200 1.6859 9.8101
0.0000 -3.3717 9.8101
ATOMIC_POSITIONS angstrom
Ba 0.0000 0.0000 3.6151
Ba 0.0000 0.0000 8.4682
Ba 0.0000 0.0000 20.9620
Ba 0.0000 0.0000 25.8151
Ir 0.0000 0.0000 0.0000
Ir 0.0000 0.0000 14.7151
Rh 0.0000 0.0000 12.0413
Rh 0.0000 0.0000 17.3889
O -1.3355 -0.7710 13.3835
O 0.0000 -1.7808 10.9988
O -1.5422 0.8904 10.9988
O -1.5422 -0.8904 18.4314
O 0.0000 -1.5420 16.0467
O -1.3355 0.7710 16.0467
O 1.3355 -0.7710 13.3835
O 0.0000 1.5420 13.3835
O 1.5422 0.8904 10.9988
O 1.5422 -0.8904 18.4314
O 0.0000 1.7808 18.4314
O 1.3355 0.7710 16.0467
```

=====

Please write out number 4 again, unchanged.
The following is a PBE calculation of crystalline Ac5La3Dy2 at its relaxed geometry, from the Alexandria database. Values from VASP.

Output
**Calculated volume**: 407 Å³/f.u.
**Calculated formation energy**: 0.170 eV/atom

```
&SYSTEM
  ibrav = 0, nat = 20, ntyp = 3
/
ATOMIC_SPECIES
Ac 227.00 Ac.upf
La 138.91 La.upf
Dy 162.50 Dy.upf
CELL_PARAMETERS angstrom
5.9648 -9.2751 0.0000
5.9648 9.2751 0.0000
-5.9425 0.0000 7.3499
ATOMIC_POSITIONS angstrom
Ac 1.5079 8.7227 5.5124
Ac -1.5114 2.0851 5.5966
Ac 1.5079 5.0822 5.5124
Ac 4.4792 4.1768 1.8375
Ac 1.4598 -2.0851 1.9216
Ac 4.5273 2.0851 5.4282
Ac 1.5079 -4.1768 5.5124
Ac 4.4792 -5.0822 1.8375
Ac 7.4985 -2.0851 1.7533
Ac 4.4792 -8.7227 1.8375
La 1.4753 2.2646 0.4438
La -1.4959 -2.2646 4.1187
La 4.4792 0.7253 1.8375
La 1.5079 -0.7253 5.5124
La 7.4831 2.2646 3.2312
La 4.5118 -2.2646 6.9061
Dy 1.4863 2.0593 3.6072
Dy -1.4849 -2.0593 7.2821
Dy 7.4721 2.0593 0.0678
Dy 4.5008 -2.0593 3.7427
```

=====

Look up the calculated volume of the third one.
208 Å³/f.u.